VASP calculation (PBE) on a relaxed BaCo2Mo crystal.

The total energy is -5.4550 eV per atom. As for the volume: 16.6 A^3/atom.

It has space group F-43m (No. 216), with a = 6.424 Å, b = 6.424 Å, c = 6.424 Å, α = 90.00°, β = 90.00° and γ = 90.00°. The distinct sites, in fractional coordinates, are Ba at (0.000, 0.000, 0.000), Co at (0.000, 0.000, 0.500), Co at (0.250, 0.250, 0.750) and Mo at (0.250, 0.250, 0.250).